No. 1
The following is a PBEsol calculation of a relaxed structure of YOsRh2, from Alexandria via LeMat-Bulk.

```
data_YOsRh2
_chemical_formula_sum 'Y4 Os4 Rh8'
_cell_length_a 6.3650
_cell_length_b 6.3650
_cell_length_c 6.3650
_cell_angle_alpha 90.00
_cell_angle_beta 90.00
_cell_angle_gamma 90.00
_space_group_name_H-M_alt 'F -4 3 m'
_space_group_IT_number 216
_space_group_name_Hall 'F -4 2 3'
loop_
_atom_site_label
_atom_site_type_symbol
_atom_site_fract_x
_atom_site_fract_y
_atom_site_fract_z
Y1 Y 0.0000 0.0000 0.0000
Os1 Os 0.2500 0.2500 0.2500
Rh1 Rh 0.0000 0.0000 0.5000
Rh2 Rh 0.2500 0.2500 0.7500
```

Computed properties:
N(E_F): 23.0 states/eV/cell
DFT formation energy: 0.162 eV/atom

No. 2
The following is a PBEsol calculation of a relaxed structure of Y3OsRh, from Alexandria via LeMat-Bulk.

```
data_Y3OsRh
_chemical_formula_sum 'Y3 Os1 Rh1'
_cell_length_a 5.0734
_cell_length_b 5.0734
_cell_length_c 5.0734
_cell_angle_alpha 90.00
_cell_angle_beta 90.00
_cell_angle_gamma 90.00
_space_group_name_H-M_alt 'P m -3 m'
_space_group_IT_number 221
_space_group_name_Hall '-P 4 2 3'
loop_
_atom_site_label
_atom_site_type_symbol
_atom_site_fract_x
_atom_site_fract_y
_atom_site_fract_z
Y1 Y 0.0000 0.0000 0.5000
Os1 Os 0.5000 0.5000 0.5000
Rh1 Rh 0.0000 0.0000 0.0000
```

Computed properties:
N(E_F): 5.8 states/eV/cell
DFT formation energy: 0.473 eV/atom

No. 3
The following is a PBEsol calculation of a relaxed structure of YOs2Rh, from Alexandria via LeMat-Bulk.

```
data_YOs2Rh
_chemical_formula_sum 'Y1 Os2 Rh1'
_cell_length_a 2.8074
_cell_length_b 2.8074
_cell_length_c 8.1499
_cell_angle_alpha 90.00
_cell_angle_beta 90.00
_cell_angle_gamma 90.00
_space_group_name_H-M_alt 'P 4/m m m'
_space_group_IT_number 123
_space_group_name_Hall '-P 4 2'
loop_
_atom_site_label
_atom_site_type_symbol
_atom_site_fract_x
_atom_site_fract_y
_atom_site_fract_z
Y1 Y 0.0000 0.0000 0.0000
Os1 Os 0.5000 0.5000 0.2824
Rh1 Rh 0.0000 0.0000 0.5000
```

Computed properties:
N(E_F): 4.6 states/eV/cell
DFT formation energy: 0.275 eV/atom
ΔE to the lowest computed polymorph: 83 meV/atom

No. 4
The following is a PBEsol calculation of a relaxed structure of YOsRh, from Alexandria via LeMat-Bulk.

```
data_YOsRh
_chemical_formula_sum 'Y1 Os1 Rh1'
_cell_length_a 4.4437
_cell_length_b 4.4437
_cell_length_c 3.1093
_cell_angle_alpha 90.00
_cell_angle_beta 90.00
_cell_angle_gamma 120.00
_space_group_name_H-M_alt 'P -6 m 2'
_space_group_IT_number 187
_space_group_name_Hall 'P -6 2'
loop_
_atom_site_label
_atom_site_type_symbol
_atom_site_fract_x
_atom_site_fract_y
_atom_site_fract_z
Y1 Y 0.0000 0.0000 0.0000
Os1 Os 0.3333 0.6667 0.5000
Rh1 Rh 0.6667 0.3333 0.5000
```

Computed properties:
N(E_F): 3.5 states/eV/cell
DFT formation energy: -0.016 eV/atom
ΔE to the lowest computed polymorph: 0 meV/atom

> N(E_F) of number 3 (YOs2Rh)?

4.6 states/eV/cell

> Among the records above, which one has the highest N(E_F)?

YOsRh2